No. 1
{"formula": "ScTl2Pt", "functional": "GGA-PBEsol", "state": "optimized geometry", "lattice_angstrom": [[4.277, 0.000, 0.000], [0.000, 4.277, 0.000], [0.000, 0.000, 4.429]], "species": ["Sc", "Tl", "Tl", "Pt"], "frac_coords": [[0.000, 0.000, 0.000], [0.000, 0.500, 0.500], [0.500, 0.000, 0.500], [0.500, 0.500, 0.000]], "sg": "P4/mmm (123)", "formation_energy_mev_per_atom": -299}

=====

No. 2
{"formula": "ZnS2NF", "functional": "GGA-PBEsol", "state": "optimized geometry", "lattice_angstrom": [[4.772, 0.000, 0.000], [0.000, 4.772, 0.000], [0.000, 0.000, 3.727]], "species": ["Zn", "S", "S", "N", "F"], "frac_coords": [[0.000, 0.000, 0.000], [0.000, 0.500, 0.000], [0.500, 0.000, 0.000], [0.000, 0.000, 0.500], [0.500, 0.500, 0.500]], "sg": "P4/mmm (123)", "formation_energy_uncorrected_mev_per_atom": 1139}

=====

No. 3
{"formula": "BeSb2Au", "functional": "GGA-PBEsol", "state": "optimized geometry", "lattice_angstrom": [[0.000, 3.453, 3.453], [3.453, 0.000, 3.453], [3.453, 3.453, 0.000]], "species": ["Be", "Sb", "Sb", "Au"], "frac_coords": [[0.000, 0.000, 0.000], [0.250, 0.250, 0.250], [0.500, 0.500, 0.500], [0.750, 0.750, 0.750]], "sg": "F-43m (216)", "formation_energy_uncorrected_mev_per_atom": 551}

=====

So what do the calculations give for final energy? Going down the list: -5.007 -3.022 -3.709 eV/atom.